(1)
# YHo4MgS8 | Alexandria | PBE-GGA | relaxed
data_YHo4MgS8
_space_group_name_H-M_alt 'R 3 m'
_space_group_IT_number 160
_space_group_name_Hall 'R 3 -2"'
_cell_length_a 7.9471
_cell_length_b 7.9471
_cell_length_c 19.4764
_cell_angle_alpha 90.00
_cell_angle_beta 90.00
_cell_angle_gamma 120.00
loop_
_atom_site_label
_atom_site_fract_x
_atom_site_fract_y
_atom_site_fract_z
Y1 0.0000 0.0000 0.0000
Ho1 0.0000 0.0000 0.3776
Ho2 0.0072 0.5036 0.5036
Mg1 0.0000 0.0000 0.6276
S1 0.0000 0.0000 0.2443
S2 0.0000 0.0000 0.7567
S3 0.0212 0.5106 0.7560
S4 0.1715 0.3430 0.5841
# formation energy without anion corrections	-1.921	eV/atom
# total DFT energy (no corrections)	-0.2265	Ha/atom

***

(2)
# HoMgSb2 | Alexandria | PBE-GGA | relaxed
data_HoMgSb2
_space_group_name_H-M_alt 'P 4/m m m'
_space_group_IT_number 123
_space_group_name_Hall '-P 4 2'
_cell_length_a 4.970
_cell_length_b 4.970
_cell_length_c 4.097
_cell_angle_alpha 90.00
_cell_angle_beta 90.00
_cell_angle_gamma 90.00
loop_
_atom_site_label
_atom_site_fract_x
_atom_site_fract_y
_atom_site_fract_z
Ho1 0.000 0.000 0.000
Mg1 0.500 0.500 0.000
Sb1 0.000 0.500 0.500
# formation energy without anion corrections	-0.537	eV/atom
# total DFT energy (no corrections)	-0.1522	Ha/atom
# E above lowest polymorph	8.4	kJ per mole of atoms

***

- Which value of formation energy without anion corrections does entry 1 give?
  -1.921 eV/atom